Record 1
Below is crystalline GdGa5Fe at its relaxed geometry, with properties calculated at the GGA-PBE level.

abc: 4.227 4.227 6.866
angles: 90.00 90.00 90.00
Element x y z (fractional)
Gd 0.000 0.000 0.000
Ga 0.000 0.500 0.313
Ga 0.000 0.500 0.687
Ga 0.500 0.000 0.313
Ga 0.500 0.000 0.687
Ga 0.500 0.500 0.000
Fe 0.000 0.000 0.500

Summary:
Electronic total energy   -4.421 eV/atom
Magnetic moment   0.1 μB/f.u.

---

Record 2
Below is crystalline SiAsPdO at its relaxed geometry, with properties calculated at the GGA-PBE level.

abc: 3.737 8.117 4.669
angles: 90.00 90.00 90.00
Element x y z (fractional)
Si 0.000 0.123 0.000
Si 0.000 0.877 0.500
As 0.500 0.293 0.904
As 0.500 0.707 0.404
Pd 0.500 0.403 0.408
Pd 0.500 0.597 0.908
O 0.000 0.057 0.334
O 0.000 0.943 0.834

Summary:
Energy above the lowest structure with this stoichiometry   0.000 eV/atom

---

Record 3
Below is crystalline TlTcAuSe3 at its relaxed geometry, with properties calculated at the GGA-PBE level.

abc: 10.595 3.706 14.370
angles: 90.00 90.00 90.00
Element x y z (fractional)
Tl 0.212 0.250 0.024
Tl 0.288 0.750 0.524
Tl 0.712 0.250 0.476
Tl 0.788 0.750 0.976
Tc 0.051 0.750 0.262
Tc 0.449 0.250 0.762
Tc 0.551 0.750 0.238
Tc 0.949 0.250 0.738
Au 0.243 0.250 0.359
Au 0.257 0.750 0.859
Au 0.743 0.250 0.141
Au 0.757 0.750 0.641
Se 0.012 0.250 0.382
Se 0.019 0.750 0.845
Se 0.246 0.250 0.692
Se 0.254 0.750 0.192
Se 0.481 0.250 0.345
Se 0.488 0.750 0.882
Se 0.512 0.250 0.118
Se 0.519 0.750 0.655
Se 0.746 0.250 0.808
Se 0.754 0.750 0.308
Se 0.981 0.250 0.155
Se 0.988 0.750 0.618

Summary:
Energy above the lowest structure with this stoichiometry   0.035 eV/atom
Magnetic moment   0.0 μB/f.u.

---

Record 4
Below is crystalline Cd2GaMo at its relaxed geometry, with properties calculated at the GGA-PBE level.

abc: 4.693 4.693 4.693
angles: 60.00 60.00 60.00
Element x y z (fractional)
Cd 0.000 0.000 0.000
Cd 0.250 0.250 0.250
Ga 0.500 0.500 0.500
Mo 0.750 0.750 0.750

Summary:
Electronic total energy   -3.423 eV/atom
Magnetic moment   1.2 μB/f.u.

---

Record 5
Below is crystalline NdGdFe2Si4 at its relaxed geometry, with properties calculated at the GGA-PBE level.

abc: 4.028 8.453 8.453
angles: 28.33 90.00 90.00
Element x y z (fractional)
Nd 0.000 0.000 0.000
Gd 0.500 0.214 0.214
Fe 0.000 0.787 0.787
Fe 0.500 0.425 0.425
Si 0.000 0.354 0.354
Si 0.000 0.651 0.651
Si 0.500 0.564 0.564
Si 0.500 0.855 0.855

Summary:
Energy above the lowest structure with this stoichiometry   0.110 eV/atom
Magnetic moment   1.5 μB/f.u.

---

Record 6
Below is crystalline GaW3CN at its relaxed geometry, with properties calculated at the GGA-PBE level.

abc: 2.905 2.905 20.091
angles: 90.00 90.00 120.00
Element x y z (fractional)
Ga 0.000 0.000 0.247
Ga 0.000 0.000 0.753
W 0.000 0.000 0.000
W 0.000 0.000 0.500
W 0.333 0.667 0.644
W 0.333 0.667 0.864
W 0.667 0.333 0.136
W 0.667 0.333 0.356
C 0.333 0.667 0.071
C 0.667 0.333 0.929
N 0.333 0.667 0.425
N 0.667 0.333 0.575

Summary:
Electronic total energy   -9.719 eV/atom
Magnetic moment   0.0 μB/f.u.

---

Record 7
Below is crystalline CuH28C18Br4N2 at its relaxed geometry, with properties calculated at the GGA-PBE level.

abc: 7.766 7.965 17.774
angles: 99.25 95.13 92.11
Element x y z (fractional)
Cu 0.000 0.000 0.000
Cu 0.495 0.503 0.003
H 0.000 0.509 0.919
H 0.026 0.554 0.507
H 0.070 0.112 0.457
H 0.094 0.364 0.169
H 0.096 0.580 0.088
H 0.134 0.352 0.324
H 0.143 0.474 0.810
H 0.206 0.595 0.388
H 0.213 0.556 0.212
H 0.231 0.845 0.715
H 0.247 0.865 0.478
H 0.255 0.211 0.700
H 0.267 0.721 0.789
H 0.277 0.972 0.306
H 0.305 0.635 0.693
H 0.308 0.882 0.211
H 0.315 0.429 0.497
H 0.323 0.960 0.879
H 0.324 0.190 0.221
H 0.353 0.896 0.615
H 0.424 0.062 0.090
H 0.427 0.256 0.593
H 0.452 0.090 0.782
H 0.470 0.478 0.268
H 0.480 0.104 0.917
H 0.480 0.886 0.285
H 0.501 0.886 0.124
H 0.501 0.959 0.504
H 0.522 0.899 0.911
H 0.550 0.062 0.392
H 0.579 0.729 0.780
H 0.584 0.682 0.383
H 0.617 0.248 0.183
H 0.632 0.012 0.086
H 0.660 0.035 0.819
H 0.674 0.264 0.506
H 0.675 0.291 0.758
H 0.688 0.576 0.503
H 0.694 0.067 0.221
H 0.700 0.442 0.697
H 0.708 0.221 0.661
H 0.796 0.801 0.258
H 0.805 0.434 0.875
H 0.821 0.945 0.505
H 0.832 0.503 0.237
H 0.844 0.077 0.347
H 0.844 0.810 0.731
H 0.855 0.508 0.613
H 0.896 0.516 0.103
H 0.919 0.366 0.351
H 0.955 0.590 0.793
H 0.962 0.239 0.263
H 0.968 0.301 0.881
H 0.977 0.204 0.746
H 0.985 0.710 0.145
H 0.992 0.868 0.619
C 0.001 0.464 0.800
C 0.042 0.356 0.664
C 0.050 0.991 0.418
C 0.077 0.479 0.549
C 0.082 0.498 0.194
C 0.125 0.700 0.378
C 0.150 0.854 0.429
C 0.204 0.286 0.657
C 0.238 0.409 0.543
C 0.302 0.312 0.598
C 0.316 0.752 0.736
C 0.372 0.958 0.264
C 0.434 0.133 0.249
C 0.493 0.890 0.616
C 0.501 0.255 0.322
C 0.503 0.821 0.752
C 0.512 0.431 0.321
C 0.523 0.992 0.807
C 0.558 0.198 0.390
C 0.577 0.925 0.554
C 0.578 0.545 0.385
C 0.579 0.122 0.195
C 0.588 0.848 0.681
C 0.627 0.312 0.454
C 0.637 0.486 0.452
C 0.745 0.320 0.710
C 0.756 0.919 0.554
C 0.768 0.840 0.680
C 0.851 0.875 0.618
C 0.898 0.816 0.306
C 0.924 0.971 0.355
C 0.941 0.328 0.731
C 0.969 0.511 0.261
C 0.980 0.452 0.609
C 0.997 0.358 0.302
C 0.999 0.679 0.316
Br 0.016 0.999 0.864
Br 0.239 0.226 0.027
Br 0.242 0.695 0.990
Br 0.479 0.431 0.866
Br 0.539 0.602 0.139
Br 0.728 0.288 0.015
Br 0.755 0.780 0.973
Br 0.992 0.000 0.135
N 0.010 0.581 0.130
N 0.457 0.986 0.883
N 0.529 0.013 0.120
N 0.938 0.424 0.873

Summary:
Electronic total energy   -5.596 eV/atom

---

Record 8
Below is crystalline ErCuSnS3 at its relaxed geometry, with properties calculated at the GGA-PBE level.

abc: 8.893 8.893 7.870
angles: 103.08 103.08 25.08
Element x y z (fractional)
Er 0.162 0.162 0.081
Er 0.838 0.838 0.919
Cu 0.464 0.464 0.793
Cu 0.536 0.536 0.207
Sn 0.125 0.125 0.565
Sn 0.875 0.875 0.435
S 0.000 0.000 0.000
S 0.324 0.324 0.150
S 0.328 0.328 0.679
S 0.500 0.500 0.500
S 0.672 0.672 0.321
S 0.676 0.676 0.850

Summary:
Electronic total energy   -5.099 eV/atom
Magnetic moment   0.0 μB/f.u.

---

Record 9
Below is crystalline ScTlCoAu at its relaxed geometry, with properties calculated at the GGA-PBE level.

abc: 4.662 4.662 4.662
angles: 60.00 60.00 60.00
Element x y z (fractional)
Sc 0.000 0.000 0.000
Tl 0.250 0.250 0.250
Co 0.500 0.500 0.500
Au 0.750 0.750 0.750

Summary:
Energy above the lowest structure with this stoichiometry   0.063 eV/atom
Magnetic moment   0.0 μB/f.u.

---

Record 10
Below is crystalline BPIrO at its relaxed geometry, with properties calculated at the GGA-PBE level.

abc: 3.697 3.697 7.582
angles: 90.00 90.00 90.00
Element x y z (fractional)
B 0.250 0.250 0.061
B 0.750 0.750 0.939
P 0.250 0.250 0.319
P 0.750 0.750 0.681
Ir 0.250 0.750 0.500
Ir 0.750 0.250 0.500
O 0.250 0.750 0.000
O 0.750 0.250 0.000

Summary:
Energy above the lowest structure with this stoichiometry   0.511 eV/atom
Magnetic moment   0.0 μB/f.u.

---

Record 11
Below is crystalline NdHoPa at its relaxed geometry, with properties calculated at the GGA-PBE level.

abc: 5.291 5.291 5.291
angles: 60.00 60.00 60.00
Element x y z (fractional)
Nd 0.000 0.000 0.000
Ho 0.250 0.250 0.250
Pa 0.500 0.500 0.500

Summary:
Formation enthalpy at 0 K   1086 meV per atom
Energy above the lowest structure with this stoichiometry   0.000 eV/atom
Magnetic moment   1.9 μB/f.u.

---

Record 12
Below is crystalline Tm4AlHgC2 at its relaxed geometry, with properties calculated at the GGA-PBE level.

abc: 3.536 3.536 15.605
angles: 90.00 90.00 120.00
Element x y z (fractional)
Tm 0.000 0.000 0.163
Tm 0.000 0.000 0.837
Tm 0.667 0.333 0.333
Tm 0.667 0.333 0.667
Al 0.667 0.333 0.000
Hg 0.000 0.000 0.500
C 0.333 0.667 0.251
C 0.333 0.667 0.749

Summary:
Electronic total energy   -5.408 eV/atom
Magnetic moment   0.9 μB/f.u.

---

| no. | theoretical density (g/cm3) |
| --- | --- |
| 1 | 7.6 |
| 2 | 5.3 |
| 3 | 8.7 |
| 4 | 8.9 |
| 5 | 6.4 |
| 6 | 14.6 |
| 7 | 2.0 |
| 8 | 5.8 |
| 9 | 11.7 |
| 10 | 8.0 |
| 11 | 8.6 |
| 12 | 9.1 |